# Li7Mn2Co3O12 (GGA+U, optimized geometry)
# * E above lowest polymorph: 6.70 kJ/mol of atoms
# * calculated density: 4.13 g/cm3
data_Li7Mn2Co3O12
_space_group_name_H-M_alt 'P 1'
_space_group_IT_number 1
_cell_length_a 5.094
_cell_length_b 5.850
_cell_length_c 7.668
_cell_angle_alpha 79.23
_cell_angle_beta 77.52
_cell_angle_gamma 73.56
loop_
_space_group_symop_operation_xyz
'x,y,z'
loop_
_atom_site_label
_atom_site_type_symbol
_atom_site_fract_x
_atom_site_fract_y
_atom_site_fract_z
Li1 Li 0.000 0.000 0.000
Li2 Li 0.001 0.172 0.323
Li3 Li 0.004 0.664 0.325
Li4 Li 0.006 0.493 0.002
Li5 Li 0.500 0.330 0.159
Li6 Li 0.990 0.339 0.661
Li7 Li 0.996 0.840 0.657
Mn1 Mn 0.499 0.666 0.830
Mn2 Mn 0.501 0.834 0.159
Co1 Co 0.495 0.016 0.485
Co2 Co 0.500 0.170 0.830
Co3 Co 0.500 0.498 0.488
O1 O 0.257 0.321 0.426
O2 O 0.267 0.525 0.739
O3 O 0.267 0.836 0.393
O4 O 0.281 0.144 0.069
O5 O 0.281 0.673 0.069
O6 O 0.285 0.993 0.755
O7 O 0.716 0.686 0.589
O8 O 0.718 0.345 0.898
O9 O 0.725 0.519 0.255
O10 O 0.726 0.173 0.589
O11 O 0.727 0.985 0.242
O12 O 0.732 0.812 0.924